No. 1
A crystal of CaMnH2N relaxed with PBEsol, computed with meta-GGA SCAN.

Total magnetization in μB per formula unit: 1.01
Electronic total energy in eV per atom: -9.456

Cell and atoms, written as CIF:
```
data_CaMnH2N
_chemical_formula_sum 'Ca1 Mn1 H2 N1'
_symmetry_space_group_name_H-M 'P 4/m m m'
_symmetry_Int_Tables_number 123
_symmetry_space_group_name_Hall '-P 4 2'
_cell_length_a 3.517
_cell_length_b 3.517
_cell_length_c 3.595
_cell_angle_alpha 90.00
_cell_angle_beta 90.00
_cell_angle_gamma 90.00
loop_
_atom_site_label
_atom_site_type_symbol
_atom_site_fract_x
_atom_site_fract_y
_atom_site_fract_z
_atom_site_occupancy
Ca1 Ca 0.000 0.000 0.000 1
Mn1 Mn 0.500 0.500 0.500 1
H1 H 0.000 0.500 0.500 1
N1 N 0.500 0.500 0.000 1
```



No. 2
A crystal of TaIr2Pt relaxed with PBEsol, computed with meta-GGA SCAN.

Offset from the most stable computed form in eV per atom: 0.267
Total magnetization in μB per formula unit: 0.00
E_form in eV/atom: -0.495
Electronic total energy in eV per atom: -70.239

Cell and atoms, written as CIF:
```
data_TaIr2Pt
_chemical_formula_sum 'Ta1 Ir2 Pt1'
_symmetry_space_group_name_H-M 'P m m 2'
_symmetry_Int_Tables_number 25
_cell_length_a 2.754
_cell_length_b 3.949
_cell_length_c 5.506
_cell_angle_alpha 90.00
_cell_angle_beta 90.00
_cell_angle_gamma 90.00
loop_
_symmetry_equiv_pos_as_xyz
'x,y,z'
'-x,-y,z'
'-x,y,z'
'x,-y,z'
loop_
_atom_site_label
_atom_site_type_symbol
_atom_site_fract_x
_atom_site_fract_y
_atom_site_fract_z
_atom_site_occupancy
Ta1 Ta 0.000 0.000 0.000 1
Ir1 Ir 0.000 0.000 0.489 1
Ir2 Ir 0.500 0.500 0.255 1
Pt1 Pt 0.500 0.500 0.742 1
```



No. 3
A crystal of Ta2SbP relaxed with PBEsol, computed with meta-GGA SCAN.

Total magnetization in μB per formula unit: 0.00
ΔE_f (raw) in meV per atom: 40.6
Electronic total energy in eV per atom: -45.166

Cell and atoms, written as CIF:
```
data_Ta2SbP
_chemical_formula_sum 'Ta4 Sb2 P2'
_symmetry_space_group_name_H-M 'I m m 2'
_symmetry_Int_Tables_number 44
_cell_length_a 3.339
_cell_length_b 4.548
_cell_length_c 9.275
_cell_angle_alpha 90.00
_cell_angle_beta 90.00
_cell_angle_gamma 90.00
loop_
_symmetry_equiv_pos_as_xyz
'x,y,z'
'-x,-y,z'
'-x,y,z'
'x,-y,z'
'x+1/2,y+1/2,z+1/2'
'-x+1/2,-y+1/2,z+1/2'
'-x+1/2,y+1/2,z+1/2'
'x+1/2,-y+1/2,z+1/2'
loop_
_atom_site_label
_atom_site_type_symbol
_atom_site_fract_x
_atom_site_fract_y
_atom_site_fract_z
_atom_site_occupancy
Ta1 Ta 0.000 0.000 0.000 1
Ta2 Ta 0.000 0.500 0.219 1
Sb1 Sb 0.000 0.000 0.469 1
P1 P 0.000 0.500 0.695 1
```



No. 4
A crystal of BaFeAg2 relaxed with PBEsol, computed with meta-GGA SCAN.

Offset from the most stable computed form in eV per atom: 0.388
Total magnetization in μB per formula unit: 3.40
E_form in eV/atom: 0.520
Electronic total energy in eV per atom: -29.583

Cell and atoms, written as CIF:
```
data_BaFeAg2
_chemical_formula_sum 'Ba4 Fe4 Ag8'
_symmetry_space_group_name_H-M 'F -4 3 m'
_symmetry_Int_Tables_number 216
_symmetry_space_group_name_Hall 'F -4 2 3'
_cell_length_a 7.103
_cell_length_b 7.103
_cell_length_c 7.103
_cell_angle_alpha 90.00
_cell_angle_beta 90.00
_cell_angle_gamma 90.00
loop_
_atom_site_label
_atom_site_type_symbol
_atom_site_fract_x
_atom_site_fract_y
_atom_site_fract_z
_atom_site_occupancy
Ba1 Ba 0.000 0.000 0.000 1
Fe1 Fe 0.250 0.250 0.750 1
Ag1 Ag 0.000 0.000 0.500 1
Ag2 Ag 0.250 0.250 0.250 1
```



No. 5
A crystal of LaCo2Os relaxed with PBEsol, computed with meta-GGA SCAN.

Offset from the most stable computed form in eV per atom: 0.662
Total magnetization in μB per formula unit: 3.97
E_form in eV/atom: 0.612
Electronic total energy in eV per atom: -36.786

Cell and atoms, written as CIF:
```
data_LaCo2Os
_chemical_formula_sum 'La4 Co8 Os4'
_symmetry_space_group_name_H-M 'F -4 3 m'
_symmetry_Int_Tables_number 216
_symmetry_space_group_name_Hall 'F -4 2 3'
_cell_length_a 6.301
_cell_length_b 6.301
_cell_length_c 6.301
_cell_angle_alpha 90.00
_cell_angle_beta 90.00
_cell_angle_gamma 90.00
loop_
_atom_site_label
_atom_site_type_symbol
_atom_site_fract_x
_atom_site_fract_y
_atom_site_fract_z
_atom_site_occupancy
La1 La 0.000 0.000 0.000 1
Co1 Co 0.000 0.000 0.500 1
Co2 Co 0.250 0.250 0.750 1
Os1 Os 0.250 0.250 0.250 1
```



No. 6
A crystal of Fe4MoIr relaxed with PBEsol, computed with meta-GGA SCAN.

Total magnetization in μB per formula unit: 6.95
E_form in eV/atom: -0.036
Electronic total energy in eV per atom: -29.786

Cell and atoms, written as CIF:
```
data_Fe4MoIr
_chemical_formula_sum 'Fe16 Mo4 Ir4'
_symmetry_space_group_name_H-M 'F -4 3 m'
_symmetry_Int_Tables_number 216
_symmetry_space_group_name_Hall 'F -4 2 3'
_cell_length_a 6.537
_cell_length_b 6.537
_cell_length_c 6.537
_cell_angle_alpha 90.00
_cell_angle_beta 90.00
_cell_angle_gamma 90.00
loop_
_atom_site_label
_atom_site_type_symbol
_atom_site_fract_x
_atom_site_fract_y
_atom_site_fract_z
_atom_site_occupancy
Fe1 Fe 0.124 0.124 0.376 1
Mo1 Mo 0.000 0.000 0.000 1
Ir1 Ir 0.250 0.250 0.750 1
```



No. 7
A crystal of Zn2SiGeIr relaxed with PBEsol, computed with meta-GGA SCAN.

Total magnetization in μB per formula unit: 0.00
ΔE_f (raw) in meV per atom: 1252.8
Electronic total energy in eV per atom: -24.194

Cell and atoms, written as CIF:
```
data_Zn2SiGeIr
_chemical_formula_sum 'Zn2 Si1 Ge1 Ir1'
_symmetry_space_group_name_H-M 'P 4/m m m'
_symmetry_Int_Tables_number 123
_symmetry_space_group_name_Hall '-P 4 2'
_cell_length_a 4.437
_cell_length_b 4.437
_cell_length_c 4.669
_cell_angle_alpha 90.00
_cell_angle_beta 90.00
_cell_angle_gamma 90.00
loop_
_atom_site_label
_atom_site_type_symbol
_atom_site_fract_x
_atom_site_fract_y
_atom_site_fract_z
_atom_site_occupancy
Zn1 Zn 0.000 0.500 0.000 1
Si1 Si 0.000 0.000 0.500 1
Ge1 Ge 0.000 0.000 0.000 1
Ir1 Ir 0.500 0.500 0.500 1
```



No. 8
A crystal of BeSbPO2 relaxed with PBEsol, computed with meta-GGA SCAN.

Offset from the most stable computed form in eV per atom: 0.000
Total magnetization in μB per formula unit: 0.00
ΔE_f (raw) in meV per atom: -259.4
Electronic total energy in eV per atom: -13.154

Cell and atoms, written as CIF:
```
data_BeSbPO2
_chemical_formula_sum 'Be1 Sb1 P1 O2'
_symmetry_space_group_name_H-M 'P 4/m m m'
_symmetry_Int_Tables_number 123
_symmetry_space_group_name_Hall '-P 4 2'
_cell_length_a 3.641
_cell_length_b 3.641
_cell_length_c 4.435
_cell_angle_alpha 90.00
_cell_angle_beta 90.00
_cell_angle_gamma 90.00
loop_
_atom_site_label
_atom_site_type_symbol
_atom_site_fract_x
_atom_site_fract_y
_atom_site_fract_z
_atom_site_occupancy
Be1 Be 0.000 0.000 0.000 1
Sb1 Sb 0.500 0.500 0.500 1
P1 P 0.000 0.000 0.500 1
O1 O 0.000 0.500 0.000 1
```